Here is a relaxed structure of GdPa2 from Alexandria via LeMat-Bulk. Energies are from PBE.

Cell lengths 6.157, 6.157, 6.157 Å; angles 60.00, 60.00, 60.00 degrees
Element x y z (fractional)
Gd 0.125 0.125 0.125
Gd 0.875 0.875 0.875
Pa 0.000 0.500 0.500
Pa 0.500 0.000 0.500
Pa 0.500 0.500 0.000
Pa 0.500 0.500 0.500

## Properties
VASP energy = -64.79 eV/cell
Energy of formation from the pure elements = 66 kJ/mol of formula units
DOS at the Fermi energy = 2.60 states/eV/atom